Na2TaI: relaxed, PBE.

Volume = 27.06 Å³ per atom
ΔE to the lowest computed polymorph = 0 meV/atom
Raw formation energy = 947 meV per atom
Total magnetization = 0.0 Bohr magnetons per cell
E_tot = -3.063 eV per atom

Cell: 8.824 8.824 5.561 Å, 90.00 90.00 90.00°
Element x y z (fractional)
Na 0.232 0.250 0.125
Na 0.250 0.732 0.375
Na 0.250 0.768 0.875
Na 0.268 0.250 0.625
Na 0.732 0.750 0.625
Na 0.750 0.232 0.875
Na 0.750 0.268 0.375
Na 0.768 0.750 0.125
Ta 0.000 0.000 0.500
Ta 0.000 0.500 0.750
Ta 0.500 0.000 0.250
Ta 0.500 0.500 0.000
I 0.000 0.000 0.000
I 0.000 0.500 0.250
I 0.500 0.000 0.750
I 0.500 0.500 0.500


Ac3Nd2Pb4: relaxed, PBE.

Volume = 36.58 Å³ per atom
Formation enthalpy at 0 K = -0.50 eV/atom
ΔE to the lowest computed polymorph = 0 meV/atom
Total magnetization = 0.0 Bohr magnetons per cell
E_tot = -4.575 eV per atom

Cell: 9.045 9.045 7.383 Å, 103.42 103.42 34.19°
Element x y z (fractional)
Ac 0.000 0.000 0.000
Ac 0.125 0.125 0.573
Ac 0.875 0.875 0.427
Nd 0.338 0.338 0.929
Nd 0.662 0.662 0.071
Pb 0.239 0.239 0.254
Pb 0.496 0.496 0.710
Pb 0.504 0.504 0.290
Pb 0.761 0.761 0.746


Rb3Pm3AlSe8: relaxed, PBE.

Volume = 33.50 Å³ per atom
Raw formation energy = -1429 meV per atom
Total magnetization = 0.0 Bohr magnetons per cell
E_tot = -4.681 eV per atom

Cell: 8.392 8.392 9.564 Å, 116.05 116.05 59.95°
Element x y z (fractional)
Rb 0.000 0.000 0.000
Rb 0.000 0.500 0.000
Rb 0.500 0.000 0.000
Pm 0.000 0.500 0.500
Pm 0.500 0.000 0.500
Pm 0.500 0.500 0.500
Al 0.000 0.000 0.500
Se 0.212 0.212 0.684
Se 0.212 0.760 0.684
Se 0.240 0.788 0.316
Se 0.266 0.266 0.298
Se 0.734 0.734 0.702
Se 0.760 0.212 0.684
Se 0.788 0.240 0.316
Se 0.788 0.788 0.316


GdTh2Pa: relaxed, PBE.

Volume = 30.03 Å³ per atom
Formation enthalpy at 0 K = 0.28 eV/atom
ΔE to the lowest computed polymorph = 191 meV/atom
Total magnetization = 29.2 Bohr magnetons per cell
E_tot = -9.327 eV per atom

Cell: 7.833 7.833 7.833 Å, 90.00 90.00 90.00°
Element x y z (fractional)
Gd 0.000 0.000 0.000
Gd 0.000 0.500 0.500
Gd 0.500 0.000 0.500
Gd 0.500 0.500 0.000
Th 0.250 0.250 0.250
Th 0.250 0.250 0.750
Th 0.250 0.750 0.250
Th 0.250 0.750 0.750
Th 0.750 0.250 0.250
Th 0.750 0.250 0.750
Th 0.750 0.750 0.250
Th 0.750 0.750 0.750
Pa 0.000 0.000 0.500
Pa 0.000 0.500 0.000
Pa 0.500 0.000 0.000
Pa 0.500 0.500 0.500


Ti3CuNi2: relaxed, PBE.

Volume = 13.92 Å³ per atom
Formation enthalpy at 0 K = -0.25 eV/atom
ΔE to the lowest computed polymorph = 0 meV/atom
Total magnetization = 0.0 Bohr magnetons per cell
E_tot = -6.806 eV per atom

Cell: 4.269 12.861 3.042 Å, 90.00 90.00 90.00°
Element x y z (fractional)
Ti 0.000 0.000 0.000
Ti 0.000 0.329 0.000
Ti 0.000 0.671 0.000
Ti 0.500 0.171 0.000
Ti 0.500 0.500 0.000
Ti 0.500 0.829 0.000
Cu 0.000 0.500 0.500
Cu 0.500 0.000 0.500
Ni 0.000 0.160 0.500
Ni 0.000 0.840 0.500
Ni 0.500 0.340 0.500
Ni 0.500 0.660 0.500


RbInP3: relaxed, PBE.

Volume = 28.37 Å³ per atom
Formation enthalpy at 0 K = 0.69 eV/atom
ΔE to the lowest computed polymorph = 0 meV/atom
Total magnetization = 0.0 Bohr magnetons per cell
E_tot = -3.295 eV per atom

Cell: 5.215 5.215 5.215 Å, 90.00 90.00 90.00°
Element x y z (fractional)
Rb 0.000 0.000 0.000
In 0.500 0.500 0.500
P 0.000 0.500 0.500
P 0.500 0.000 0.500
P 0.500 0.500 0.000


RbCa2HgIr: relaxed, PBE.

Volume = 34.01 Å³ per atom
Formation enthalpy at 0 K = -0.13 eV/atom
Total magnetization = 0.0 Bohr magnetons per cell
E_tot = -2.953 eV per atom

Cell: 5.539 5.539 5.543 Å, 90.00 90.00 90.00°
Element x y z (fractional)
Rb 0.000 0.000 0.000
Ca 0.000 0.500 0.500
Ca 0.500 0.000 0.500
Hg 0.500 0.500 0.000
Ir 0.500 0.500 0.500


Nb2ZnRh2: relaxed, PBE.

Volume = 16.15 Å³ per atom
Formation enthalpy at 0 K = -0.23 eV/atom
Total magnetization = 0.0 Bohr magnetons per cell
E_tot = -7.450 eV per atom

Cell: 2.981 18.025 3.006 Å, 90.00 90.00 90.00°
Element x y z (fractional)
Nb 0.000 0.184 0.000
Nb 0.000 0.816 0.000
Nb 0.500 0.316 0.000
Nb 0.500 0.684 0.000
Zn 0.000 0.000 0.000
Zn 0.500 0.500 0.000
Rh 0.000 0.411 0.500
Rh 0.000 0.589 0.500
Rh 0.500 0.089 0.500
Rh 0.500 0.911 0.500


AcNiP2Rh2: relaxed, PBE.

Volume = 17.85 Å³ per atom
Formation enthalpy at 0 K = -0.46 eV/atom
Total magnetization = 0.0 Bohr magnetons per cell
E_tot = -6.364 eV per atom

Cell: 4.364 4.364 5.622 Å, 90.00 90.00 90.00°
Element x y z (fractional)
Ac 0.000 0.000 0.000
Ni 0.000 0.000 0.500
P 0.000 0.500 0.500
P 0.500 0.000 0.500
Rh 0.500 0.500 0.261
Rh 0.500 0.500 0.739


Ba6As2SCl3: relaxed, PBE.

Volume = 36.00 Å³ per atom
Raw formation energy = -1798 meV per atom
Total magnetization = 0.0 Bohr magnetons per cell
E_tot = -4.340 eV per atom

Cell: 8.106 8.106 8.062 Å, 99.65 99.65 120.03°
Element x y z (fractional)
Ba 0.077 0.408 0.230
Ba 0.255 0.255 0.771
Ba 0.408 0.077 0.230
Ba 0.592 0.923 0.770
Ba 0.745 0.745 0.229
Ba 0.923 0.592 0.770
As 0.333 0.667 0.000
As 0.667 0.333 0.000
S 0.000 0.000 0.000
Cl 0.168 0.832 0.500
Cl 0.500 0.500 0.500
Cl 0.832 0.168 0.500


Ir2AuSe: relaxed, PBE.

Volume = 17.32 Å³ per atom
Raw formation energy = 408 meV per atom
Total magnetization = 0.0 Bohr magnetons per cell
E_tot = -5.713 eV per atom

Cell: 2.838 3.687 6.620 Å, 90.00 90.00 90.00°
Element x y z (fractional)
Ir 0.000 0.000 0.000
Ir 0.500 0.500 0.219
Au 0.500 0.500 0.753
Se 0.000 0.000 0.400


SiSI2: relaxed, PBE.

Volume = 24.70 Å³ per atom
ΔE to the lowest computed polymorph = 139 meV/atom
Raw formation energy = 794 meV per atom
Total magnetization = 0.0 Bohr magnetons per cell
E_tot = -2.368 eV per atom

Cell: 7.339 7.339 7.339 Å, 90.00 90.00 90.00°
Element x y z (fractional)
Si 0.000 0.000 0.000
Si 0.000 0.500 0.500
Si 0.500 0.000 0.500
Si 0.500 0.500 0.000
S 0.000 0.000 0.500
S 0.000 0.500 0.000
S 0.500 0.000 0.000
S 0.500 0.500 0.500
I 0.250 0.250 0.250
I 0.250 0.250 0.750
I 0.250 0.750 0.250
I 0.250 0.750 0.750
I 0.750 0.250 0.250
I 0.750 0.250 0.750
I 0.750 0.750 0.250
I 0.750 0.750 0.750


TcAu2Br: relaxed, PBE.

Volume = 21.78 Å³ per atom
ΔE to the lowest computed polymorph = 355 meV/atom
Raw formation energy = 698 meV per atom
Total magnetization = 14.5 Bohr magnetons per cell
E_tot = -3.950 eV per atom

Cell: 8.059 8.059 5.366 Å, 90.00 90.00 90.00°
Element x y z (fractional)
Tc 0.000 0.000 0.000
Tc 0.000 0.500 0.250
Tc 0.500 0.000 0.750
Tc 0.500 0.500 0.500
Au 0.221 0.250 0.125
Au 0.250 0.721 0.375
Au 0.250 0.779 0.875
Au 0.279 0.250 0.625
Au 0.721 0.750 0.625
Au 0.750 0.221 0.875
Au 0.750 0.279 0.375
Au 0.779 0.750 0.125
Br 0.000 0.000 0.500
Br 0.000 0.500 0.750
Br 0.500 0.000 0.250
Br 0.500 0.500 0.000


Cs3Tl4Pt: relaxed, PBE.

Volume = 41.33 Å³ per atom
Formation enthalpy at 0 K = -0.08 eV/atom
ΔE to the lowest computed polymorph = 23 meV/atom
Total magnetization = 0.0 Bohr magnetons per cell
E_tot = -2.341 eV per atom

Cell: 7.018 8.338 11.302 Å, 90.00 90.00 90.00°
Element x y z (fractional)
Cs 0.000 0.000 0.000
Cs 0.000 0.241 0.640
Cs 0.000 0.759 0.640
Cs 0.500 0.259 0.140
Cs 0.500 0.500 0.500
Cs 0.500 0.741 0.140
Tl 0.000 0.306 0.302
Tl 0.000 0.694 0.302
Tl 0.234 0.500 0.897
Tl 0.266 0.000 0.397
Tl 0.500 0.194 0.802
Tl 0.500 0.806 0.802
Tl 0.734 0.000 0.397
Tl 0.766 0.500 0.897
Pt 0.000 0.500 0.099
Pt 0.500 0.000 0.599


Sc2RuRh2: relaxed, PBE.

Volume = 17.35 Å³ per atom
Formation enthalpy at 0 K = -0.48 eV/atom
Total magnetization = 0.0 Bohr magnetons per cell
E_tot = -7.807 eV per atom

Cell: 6.779 6.779 3.775 Å, 90.00 90.00 90.00°
Element x y z (fractional)
Sc 0.177 0.323 0.000
Sc 0.323 0.823 0.000
Sc 0.677 0.177 0.000
Sc 0.823 0.677 0.000
Ru 0.000 0.000 0.500
Ru 0.500 0.500 0.500
Rh 0.132 0.632 0.500
Rh 0.368 0.132 0.500
Rh 0.632 0.868 0.500
Rh 0.868 0.368 0.500


YHoZnPd: relaxed, PBE.

Volume = 22.08 Å³ per atom
Formation enthalpy at 0 K = -0.61 eV/atom
ΔE to the lowest computed polymorph = 26 meV/atom
Total magnetization = 0.0 Bohr magnetons per cell
E_tot = -4.986 eV per atom

Cell: 7.070 7.070 7.070 Å, 90.00 90.00 90.00°
Element x y z (fractional)
Y 0.000 0.000 0.000
Y 0.000 0.500 0.500
Y 0.500 0.000 0.500
Y 0.500 0.500 0.000
Ho 0.000 0.000 0.500
Ho 0.000 0.500 0.000
Ho 0.500 0.000 0.000
Ho 0.500 0.500 0.500
Zn 0.250 0.250 0.250
Zn 0.250 0.750 0.750
Zn 0.750 0.250 0.750
Zn 0.750 0.750 0.250
Pd 0.250 0.250 0.750
Pd 0.250 0.750 0.250
Pd 0.750 0.250 0.250
Pd 0.750 0.750 0.750


BaBe2Rh: relaxed, PBE.

Volume = 18.27 Å³ per atom
Formation enthalpy at 0 K = 0.65 eV/atom
ΔE to the lowest computed polymorph = 838 meV/atom
Total magnetization = 0.0 Bohr magnetons per cell
E_tot = -3.534 eV per atom

Cell: 4.334 4.334 7.780 Å, 90.00 90.00 90.00°
Element x y z (fractional)
Ba 0.000 0.000 0.000
Ba 0.500 0.500 0.500
Be 0.000 0.500 0.250
Be 0.000 0.500 0.750
Be 0.500 0.000 0.250
Be 0.500 0.000 0.750
Rh 0.000 0.000 0.500
Rh 0.500 0.500 0.000


CsHgTe3: relaxed, PBE.

Volume = 38.59 Å³ per atom
ΔE to the lowest computed polymorph = 155 meV/atom
Raw formation energy = -154 meV per atom
Total magnetization = 0.0 Bohr magnetons per cell
E_tot = -2.270 eV per atom

Cell: 7.434 7.434 7.434 Å, 77.67 77.67 77.67°
Element x y z (fractional)
Cs 0.000 0.000 0.000
Cs 0.500 0.500 0.500
Hg 0.251 0.251 0.251
Hg 0.751 0.751 0.751
Te 0.000 0.454 0.546
Te 0.046 0.954 0.500
Te 0.454 0.546 0.000
Te 0.500 0.046 0.954
Te 0.546 0.000 0.454
Te 0.954 0.500 0.046


Sr2Zn2I: relaxed, PBE.

Volume = 32.09 Å³ per atom
ΔE to the lowest computed polymorph = 0 meV/atom
Raw formation energy = -703 meV per atom
Total magnetization = 0.0 Bohr magnetons per cell
E_tot = -2.195 eV per atom

Cell: 4.528 4.528 27.103 Å, 90.00 90.00 120.00°
Element x y z (fractional)
Sr 0.000 0.000 0.076
Sr 0.000 0.000 0.924
Sr 0.333 0.667 0.591
Sr 0.333 0.667 0.742
Sr 0.667 0.333 0.258
Sr 0.667 0.333 0.409
Zn 0.000 0.000 0.333
Zn 0.000 0.000 0.667
Zn 0.333 0.667 0.334
Zn 0.333 0.667 0.999
Zn 0.667 0.333 0.001
Zn 0.667 0.333 0.666
I 0.000 0.000 0.500
I 0.333 0.667 0.167
I 0.667 0.333 0.833


Na3TlAu2: relaxed, PBE.

Volume = 29.10 Å³ per atom
Formation enthalpy at 0 K = -0.19 eV/atom
ΔE to the lowest computed polymorph = 33 meV/atom
Total magnetization = 0.0 Bohr magnetons per cell
E_tot = -2.338 eV per atom

Cell: 9.067 9.067 9.511 Å, 90.00 90.00 116.71°
Element x y z (fractional)
Na 0.070 0.327 0.537
Na 0.152 0.848 0.786
Na 0.173 0.430 0.963
Na 0.327 0.070 0.463
Na 0.348 0.652 0.286
Na 0.430 0.173 0.037
Na 0.570 0.827 0.963
Na 0.652 0.348 0.714
Na 0.673 0.930 0.537
Na 0.827 0.570 0.037
Na 0.848 0.152 0.214
Na 0.930 0.673 0.463
Tl 0.054 0.946 0.156
Tl 0.446 0.554 0.656
Tl 0.554 0.446 0.344
Tl 0.946 0.054 0.844
Au 0.221 0.279 0.250
Au 0.230 0.770 0.058
Au 0.270 0.730 0.558
Au 0.279 0.221 0.750
Au 0.721 0.779 0.250
Au 0.730 0.270 0.442
Au 0.770 0.230 0.942
Au 0.779 0.721 0.750